{"formula": "BeTeAs", "functional": "GGA-PBEsol", "state": "relaxed", "lattice_angstrom": [[0.000, 3.223, 3.223], [3.223, 0.000, 3.223], [3.223, 3.223, 0.000]], "species": ["Be", "Te", "As"], "fractional_positions": [[0.000, 0.000, 0.000], [0.500, 0.500, 0.500], [0.250, 0.250, 0.250]], "polymorph_energy_ev_per_atom": 0.551, "raw_formation_energy_ev_per_atom": 0.80}